# 1
A relaxed GeBiPbO5 crystal. Source: the Alexandria database, functional PBE.

## Properties
SG: C2/c, No. 15
Fermi-level density of states: 1.805 states/eV/cell
Formation energy without anion corrections: -1196 meV/atom
Magnetic moment: 0.00 μB/cell
DFT total energy: -5.821 eV/atom

Geometry as POSCAR:
```
GeBiPbO5
1.0
-3.3423 -4.8320 -1.3322
0.8386 0.2273 5.9614
-4.9598 5.6748 -1.0933
O Ge Pb Bi
10 2 2 2
Cartesian
-5.9794 2.6466 2.4810 O
-3.9745 4.6312 2.8059 O
-1.4841 -1.5765 1.0550 O
-3.4007 1.9426 1.4911 O
-0.8509 1.1020 4.9039 O
-4.0628 -0.8725 2.0449 O
-3.5998 2.1434 4.3167 O
-3.8638 -1.0733 -0.7807 O
-6.6127 -0.0319 -1.3679 O
-3.4891 -3.5610 0.7301 O
-4.2326 2.8483 2.7842 Ge
-3.2310 -1.7781 0.7518 Ge
-2.4799 2.8374 -0.5466 Pb
0.0000 0.0000 0.0000 Pb
-1.8032 -0.0503 3.2427 Bi
-5.6604 1.1204 0.2933 Bi
```

***

# 2
A relaxed GeBiPbO2 crystal. Source: the Alexandria database, functional PBE.

## Properties
SG: P4/mmm, No. 123
Fermi-level density of states: 2.799 states/eV/cell
Formation energy without anion corrections: -13 meV/atom
Magnetic moment: 0.00 μB/cell
DFT total energy: -4.438 eV/atom

Geometry as POSCAR:
```
GeBiPbO2
1.0
-2.8075 -0.5725 -3.0952
4.0104 -1.1907 -3.4174
-0.3200 -4.0741 1.0439
O Ge Bi Pb
2 1 1 1
Cartesian
-1.4038 -0.2863 -1.5476 O
-0.1600 -2.0370 0.5219 O
0.0000 0.0000 0.0000 Ge
0.4415 -2.9186 -2.7344 Bi
2.0052 -0.5953 -1.7087 Pb
```

***

# 3
A relaxed GeBiPbO6 crystal. Source: the Alexandria database, functional PBE.

## Properties
SG: P-31c, No. 163
Fermi-level density of states: 5.207 states/eV/cell
Formation energy without anion corrections: -1085 meV/atom
Magnetic moment: 0.00 μB/cell
DFT total energy: -5.747 eV/atom

Geometry as POSCAR:
```
GeBiPbO6
1.0
5.4004 0.0000 0.0000
-2.7002 4.6768 0.0000
0.0000 0.0000 9.4554
Pb O Bi Ge
2 12 2 2
Cartesian
0.0000 3.1179 2.3639 Pb
2.7002 1.5589 7.0916 Pb
-1.5975 3.0977 8.1857 O
-0.8162 1.7445 5.9974 O
1.8840 2.9324 1.2697 O
-0.7813 4.5115 5.9974 O
0.8162 1.7445 8.1857 O
1.9189 0.1654 1.2697 O
0.7813 4.5115 8.1857 O
4.2977 1.5791 1.2697 O
1.1026 1.5791 3.4580 O
1.5975 3.0977 5.9974 O
3.4815 0.1654 3.4580 O
3.5164 2.9324 3.4580 O
0.0000 0.0000 0.0000 Bi
0.0000 0.0000 4.7277 Bi
0.0000 3.1179 7.0916 Ge
2.7002 1.5589 2.3639 Ge
```